Record 1
Cd4AsRh (PBE-GGA, relaxed); E_tot = -13.97 eV/cell; energy of formation from the pure elements = 0.281 eV per atom; theoretical density = 8.53 g/cm3; N(E_F) = 0.2 states/eV/f.u.; space group = F-43m (216)
1.0
0.000 3.938 3.938
3.938 0.000 3.938
3.938 3.938 0.000
Cd As Rh
4 1 1
direct
0.125 0.125 0.125
0.125 0.125 0.626
0.125 0.626 0.125
0.626 0.125 0.125
0.500 0.500 0.500
0.750 0.750 0.750

=====

Record 2
Tb5Th2Sc5 (PBE-GGA, relaxed); E_tot = -68.50 eV/cell; energy of formation from the pure elements = 0.096 eV per atom; theoretical density = 7.09 g/cm3; N(E_F) = 21.2 states/eV/f.u.; space group = C2/m (12)
1.0
5.767 -2.731 0.000
5.767 2.731 0.000
-3.920 0.000 11.022
Tb Th Sc
5 2 5
direct
0.000 0.000 0.000
0.039 0.039 0.714
0.257 0.257 0.242
0.743 0.743 0.758
0.961 0.961 0.286
0.211 0.211 0.543
0.789 0.789 0.457
0.295 0.295 0.963
0.455 0.455 0.798
0.500 0.500 0.500
0.545 0.545 0.202
0.705 0.705 0.037

=====

Record 3
Ac2HoGe4Ir3 (PBE-GGA, relaxed); E_tot = -65.09 eV/cell; energy of formation from the pure elements = -0.724 eV per atom; theoretical density = 11.43 g/cm3; N(E_F) = 5.3 states/eV/f.u.; space group = P-4m2 (115)
1.0
4.404 0.000 0.000
0.000 4.404 0.000
0.000 0.000 11.126
Ac Ho Ge Ir
2 1 4 3
direct
0.000 0.500 0.231
0.500 0.000 0.769
0.000 0.000 0.500
0.000 0.000 0.000
0.000 0.500 0.661
0.500 0.000 0.339
0.500 0.500 0.000
0.000 0.500 0.887
0.500 0.000 0.113
0.500 0.500 0.500

=====

Q: Among the records above, which one has the lowest N(E_F)?
A: Cd4AsRh

=====

Copy entry 1 word for word.
Cd4AsRh (PBE-GGA, relaxed); E_tot = -13.97 eV/cell; energy of formation from the pure elements = 0.281 eV per atom; theoretical density = 8.53 g/cm3; N(E_F) = 0.2 states/eV/f.u.; space group = F-43m (216)
1.0
0.000 3.938 3.938
3.938 0.000 3.938
3.938 3.938 0.000
Cd As Rh
4 1 1
direct
0.125 0.125 0.125
0.125 0.125 0.626
0.125 0.626 0.125
0.626 0.125 0.125
0.500 0.500 0.500
0.750 0.750 0.750

=====

Q: Which of these has the highest theoretical density?
A: Ac2HoGe4Ir3